The following is a PBE calculation of a relaxed structure of CaIn3As, from Alexandria via LeMat-Bulk.

Properties
For the relative energy among the computed polymorphs, the calculation gives 0 meV per atom. The symmetry is Pm-3m. For the energy of formation from the pure elements, the calculation gives 0.127 eV/atom. For the calculated total energy, the calculation gives -14.234 eV for the cell shown.

abc: 5.4245 5.4245 5.4245
angles: 90.00 90.00 90.00
Element x y z (fractional)
1 In 0.5000 0.0000 0.0000
2 As 0.0000 0.0000 0.0000
3 Ca 0.5000 0.5000 0.5000
4 In 0.0000 0.0000 0.5000
5 In 0.0000 0.5000 0.0000